AgP2PdO8: optimized geometry, PBE-GGA.

abc: 4.7468 4.7468 8.0299
angles: 72.81 72.81 60.00
Site moments in Bohr magnetons follow the coordinates.
Fractional coordinates of all 12 atoms:
O 0.5968 0.2701 0.1613  0.06
O 0.9718 0.5968 0.1613  0.06
P 0.7418 0.7418 0.7745  -0.01
O 0.4032 0.7299 0.8387  0.06
Pd 0.0000 0.0000 0.0000  0.09
O 0.0282 0.4032 0.8387  0.06
O 0.8098 0.8098 0.5706  0.19
P 0.2582 0.2582 0.2255  -0.01
O 0.1902 0.1902 0.4294  0.19
O 0.2701 0.9718 0.1613  0.06
O 0.7299 0.0282 0.8387  0.06
Ag 0.5000 0.5000 0.5000  0.14

Calculated values
**Uncorrected formation energy**: -1.2282 eV per atom
**Space group**: No. 148
**Raw total energy**: -73.3 eV per cell